# Pr12Nd5Ga3

Crystalline Pr12Nd5Ga3 at its relaxed geometry (PBE, Alexandria).

abc: 17.8607 17.8607 17.8607
angles: 90.00 90.00 90.00
With the nearest neighbours (Å) after each atom.
Space group Ia-3d (No. 230)
Inequivalent atoms, fractional coordinates:
Pr: 0.0155 0.0806 0.6590 (multiplicity 96)  2 Nd 2.92-3.20, 1 Ga 3.10, 1 Pr 3.12
Nd: 0.0000 0.0000 0.0000 (multiplicity 16)  6 Pr 3.20
Nd: 0.0000 0.2500 0.3750 (multiplicity 24)  4 Pr 2.92
Ga: 0.0000 0.2500 0.1250 (multiplicity 24)  8 Pr 3.10-3.32

Summary:
energy relative to the elements	596	meV per atom
spin magnetization	0.000	μB/atom
VASP energy	-626.89	eV/cell
ρ	6.112	Mg/m³